(1)
Density functional theory data (PBE-GGA) for a relaxed structure of GdPuRe4.

Structure (POSCAR):
```
GdPuRe4
1.0
-1.0878 0.9330 5.2350
-3.9918 -2.7248 2.4698
1.1849 -3.7605 3.7301
Re Gd Pu
4 1 1
Direct
0.6249 0.6249 0.1253
0.6249 0.1253 0.6249
0.6249 0.6249 0.6249
0.1253 0.6249 0.6249
0.2500 0.2500 0.2500
0.0000 0.0000 0.0000
```

Properties
Formation energy from the elements (eV per atom): -0.029
Fermi-level density of states (states/eV/f.u.): 10.50
Total magnetization (μB per atom): 2.1835



(2)
Density functional theory data (PBE-GGA) for a relaxed structure of Rb2Te3O8.

Structure (POSCAR):
```
Rb2Te3O8
1.0
-2.7424 -3.7575 -3.4201
5.1413 -4.0560 0.3335
-4.0845 0.6417 6.3099
Rb Te O
2 3 8
Direct
0.3139 0.2786 0.5571
0.6861 0.7214 0.4429
0.5000 0.0000 0.0000
0.0000 0.2599 0.0000
0.0000 0.7401 0.0000
0.9978 0.5952 0.1904
0.0022 0.4048 0.8096
0.8324 0.1012 0.2024
0.1676 0.8988 0.7976
0.6087 0.7074 0.8438
0.6087 0.1364 0.8438
0.3913 0.8636 0.1562
0.3913 0.2926 0.1562
```

Properties
Total DFT energy (no corrections) (eV/cell): -66.23
Total magnetization (μB per atom): 0.0000



(3)
Density functional theory data (PBE-GGA) for a relaxed structure of CsBaZr2Zn.

Structure (POSCAR):
```
CsBaZr2Zn
1.0
-3.9518 -3.6478 0.8141
3.1872 -4.1204 -2.9914
2.3750 -1.5360 4.6461
Cs Zn Ba Zr
1 1 1 2
Direct
0.0000 0.0000 0.0000
0.0000 0.5000 0.0000
0.5000 0.5000 0.5000
0.0000 0.0000 0.5000
0.5000 0.0000 0.0000
```

Properties
Formation energy from the elements (eV per atom): 1.489
Fermi-level density of states (states/eV/f.u.): 7.89
Total magnetization (μB per atom): 0.0001